Computed, not measured: HfTcGe after structural relaxation at the GGA-PBE level of DFT.

Cell lengths 6.941, 5.475, 5.505 Å; angles 90.00, 90.86, 90.00 degrees
Sites, in units of the cell vectors:
Ge  0.741  0.500  0.269
Ge  0.259  0.500  0.731
Ge  0.259  0.000  0.231
Ge  0.741  0.000  0.769
Hf  0.660  0.500  0.758
Hf  0.660  0.000  0.258
Hf  0.340  0.000  0.742
Hf  0.340  0.500  0.242
Tc  0.000  0.782  0.500
Tc  0.000  0.218  0.500
Tc  0.000  0.282  0.000
Tc  0.000  0.718  0.000

Crystal system: monoclinic
Volume in Å³/atom: 17.43
SG: C2/m
Energy in eV per cell: -105.34

Computed, not measured: HfAg after structural relaxation at the GGA-PBE level of DFT.

Cell lengths 4.714, 4.714, 5.540 Å; angles 90.00, 90.00, 120.00 degrees
Sites, in units of the cell vectors:
Ag  0.667  0.333  0.750
Ag  0.333  0.667  0.250
Hf  0.333  0.667  0.750
Hf  0.667  0.333  0.250

Crystal system: hexagonal
Volume in Å³/atom: 26.66
SG: P6_3/mmc
Energy in eV per cell: -21.84

Computed, not measured: Mg2TcSe after structural relaxation at the GGA-PBE level of DFT.

Cell lengths 5.284, 5.284, 5.284 Å; angles 136.45, 136.45, 63.28 degrees
Sites, in units of the cell vectors:
Tc  0.750  0.250  0.500
Mg  0.500  0.500  0.000
Mg  0.000  0.000  0.000
Se  0.250  0.750  0.500

Raw formation energy in eV/atom: 0.157
Crystal system: tetragonal
Volume in Å³/atom: 17.28
SG: I4/mmm
Energy in eV per cell: -16.41

Computed, not measured: SnWC3 after structural relaxation at the GGA-PBE level of DFT.

Cell lengths 4.119, 4.119, 4.119 Å; angles 90.00, 90.00, 90.00 degrees
Sites, in units of the cell vectors:
C  0.000  0.500  0.000
C  0.500  0.000  0.000
C  0.000  0.000  0.500
Sn  0.000  0.000  0.000
W  0.500  0.500  0.500

Crystal system: cubic
Volume in Å³/atom: 13.98
SG: Pm-3m
Energy in eV per cell: -27.76

Computed, not measured: Y2Er3ThTe6 after structural relaxation at the GGA-PBE level of DFT.

Cell lengths 4.290, 8.863, 9.912 Å; angles 105.93, 102.50, 90.00 degrees
Sites, in units of the cell vectors:
Te  0.330  0.423  0.660
Te  0.997  0.261  0.995
Te  0.673  0.073  0.346
Te  0.670  0.577  0.340
Te  0.327  0.927  0.654
Te  0.003  0.739  0.005
Er  0.500  0.500  0.000
Er  0.838  0.177  0.676
Er  0.162  0.823  0.324
Y  0.843  0.689  0.686
Y  0.157  0.311  0.314
Th  0.500  0.000  0.000

Raw formation energy in eV/atom: -1.205
Crystal system: monoclinic
Volume in Å³/atom: 29.43
SG: C2/m
Energy in eV per cell: -67.35

Computed, not measured: Nb3FeSb after structural relaxation at the GGA-PBE level of DFT.

Cell lengths 4.626, 4.626, 4.626 Å; angles 90.00, 90.00, 90.00 degrees
Sites, in units of the cell vectors:
Nb  0.000  0.500  0.000
Nb  0.500  0.000  0.000
Nb  0.000  0.000  0.500
Fe  0.000  0.000  0.000
Sb  0.500  0.500  0.500

Raw formation energy in eV/atom: 0.451
Crystal system: cubic
Volume in Å³/atom: 19.80
SG: Pm-3m
Energy in eV per cell: -40.54

Computed, not measured: Sc2AgHIr after structural relaxation at the GGA-PBE level of DFT.

Cell lengths 4.587, 4.587, 3.638 Å; angles 90.00, 90.00, 90.00 degrees
Sites, in units of the cell vectors:
Ag  0.500  0.500  0.500
Ir  0.000  0.000  0.500
H  0.000  0.000  0.000
Sc  0.000  0.500  0.000
Sc  0.500  0.000  0.000

Crystal system: tetragonal
Volume in Å³/atom: 15.31
SG: P4/mmm
Energy in eV per cell: -30.37

Computed, not measured: NdDy5Cu4 after structural relaxation at the GGA-PBE level of DFT.

Cell lengths 3.472, 3.472, 19.285 Å; angles 90.00, 90.00, 90.00 degrees
Sites, in units of the cell vectors:
Nd  0.000  0.000  0.000
Dy  0.500  0.500  0.681
Dy  0.500  0.500  0.141
Dy  0.500  0.500  0.319
Dy  0.500  0.500  0.859
Dy  0.500  0.500  0.500
Cu  0.000  0.000  0.771
Cu  0.000  0.000  0.229
Cu  0.000  0.000  0.409
Cu  0.000  0.000  0.591

Crystal system: tetragonal
Volume in Å³/atom: 23.24
SG: P4/mmm
Energy in eV per cell: -46.13

Computed, not measured: Tb2CeScS6 after structural relaxation at the GGA-PBE level of DFT.

Cell lengths 6.901, 6.901, 7.318 Å; angles 61.87, 61.87, 60.00 degrees
Sites, in units of the cell vectors:
S  0.596  0.218  0.248
S  0.707  0.130  0.758
S  0.130  0.405  0.758
S  0.938  0.596  0.248
S  0.218  0.938  0.248
S  0.405  0.707  0.758
Sc  0.320  0.320  0.040
Tb  0.015  0.015  0.956
Tb  0.521  0.521  0.438
Ce  0.812  0.812  0.564

Raw formation energy in eV/atom: -1.960
Crystal system: trigonal
Volume in Å³/atom: 25.32
SG: R3
Energy in eV per cell: -65.89

Computed, not measured: Ac3Sb2Pd7 after structural relaxation at the GGA-PBE level of DFT.

Cell lengths 4.425, 4.425, 14.699 Å; angles 98.66, 98.66, 90.00 degrees
Sites, in units of the cell vectors:
Pd  0.000  0.000  0.000
Pd  0.074  0.574  0.148
Pd  0.926  0.426  0.852
Pd  0.574  0.074  0.148
Pd  0.781  0.781  0.563
Pd  0.219  0.219  0.437
Pd  0.426  0.926  0.852
Ac  0.500  0.500  0.000
Ac  0.675  0.675  0.350
Ac  0.325  0.325  0.650
Sb  0.124  0.124  0.248
Sb  0.876  0.876  0.752

Raw formation energy in eV/atom: -0.732
Crystal system: tetragonal
Volume in Å³/atom: 23.43
SG: I4/mmm
Energy in eV per cell: -65.70

Computed, not measured: AcDy6HoTm2 after structural relaxation at the GGA-PBE level of DFT.

Cell lengths 9.465, 8.857, 8.857 Å; angles 117.23, 92.46, 92.46 degrees
Sites, in units of the cell vectors:
Dy  0.057  0.126  0.752
Dy  0.557  0.752  0.126
Dy  0.443  0.248  0.874
Dy  0.180  0.553  0.011
Dy  0.680  0.011  0.553
Dy  0.884  0.288  0.513
Dy  0.943  0.874  0.248
Dy  0.616  0.487  0.712
Dy  0.320  0.989  0.447
Dy  0.820  0.447  0.989
Dy  0.116  0.712  0.487
Dy  0.384  0.513  0.288
Tm  0.550  0.204  0.317
Tm  0.050  0.317  0.204
Tm  0.950  0.683  0.796
Tm  0.450  0.796  0.683
Ac  0.750  0.032  0.968
Ac  0.250  0.968  0.032
Ho  0.750  0.588  0.412
Ho  0.250  0.412  0.588

Crystal system: monoclinic
Volume in Å³/atom: 32.90
SG: C2/c
Energy in eV per cell: -87.87

Computed, not measured: CaAcZn2Ir2 after structural relaxation at the GGA-PBE level of DFT.

Cell lengths 4.361, 4.361, 8.044 Å; angles 90.00, 90.00, 120.00 degrees
Sites, in units of the cell vectors:
Ca  0.000  0.000  0.500
Zn  0.667  0.333  0.718
Zn  0.333  0.667  0.282
Ac  0.000  0.000  0.000
Ir  0.667  0.333  0.255
Ir  0.333  0.667  0.745

Crystal system: trigonal
Volume in Å³/atom: 22.08
SG: P-3m1
Energy in eV per cell: -29.10

Question: Look up the volume of the twelfth one.
Answer: 22.08 Å³/atom